(1)
An optimized crystal structure of ZnNiHg2, computed with GGA-PBE.

Properties
* formation enthalpy at 0 K: 0.20 eV/atom

Unit cell a=4.4837 b=4.4837 c=3.4273 alpha=90.04 beta=90.04 gamma=89.85
Atoms (fractional coordinates):
Ni: 0.5000 0.0000 0.5000
Zn: 0.0000 0.5000 0.5000
Hg: 0.5000 0.5000 0.0000
Hg: 0.0000 0.0000 0.0000

=====

(2)
An optimized crystal structure of Zn2Co2Bi, computed with GGA-PBE.

Properties
* relative energy among the computed polymorphs: 119 meV per atom
* formation enthalpy at 0 K: 0.39 eV/atom

Unit cell a=3.7024 b=3.7024 c=6.7166 alpha=74.00 beta=74.00 gamma=90.00
Site moments in Bohr magnetons follow the coordinates.
Atoms (fractional coordinates):
Zn: 0.6157 0.6157 0.7685  -0.03
Zn: 0.3843 0.3843 0.2315  -0.03
Bi: 0.0000 0.0000 0.0000  0.05
Co: 0.7500 0.2500 0.5000  1.57
Co: 0.2500 0.7500 0.5000  1.57

=====

We obtain size of the total moment values of 0.0 3.1 Bohr magnetons per cell for the records listed above, in that order.